Material: Cr2OF2
Method: DFT, GGA+U
State: relaxed

```
data_Cr2OF2
_chemical_formula_sum 'Cr8 O4 F8'
_cell_length_a 6.045
_cell_length_b 6.045
_cell_length_c 10.927
_cell_angle_alpha 90.00
_cell_angle_beta 90.00
_cell_angle_gamma 90.00
_symmetry_space_group_name_H-M 'I 41/a m d'
_symmetry_Int_Tables_number 141
loop_
_symmetry_equiv_pos_as_xyz
'x,y,z'
'-x,-y,-z'
'-y+1/4,x+3/4,z+1/4'
'y+1/4,-x+3/4,-z+1/4'
'-x+1/2,-y,z+1/2'
'x+1/2,y,-z+1/2'
'y+1/4,-x+1/4,z+3/4'
'-y+1/4,x+1/4,-z+3/4'
'x,-y,-z'
'-x,y,z'
'-y+1/4,-x+1/4,-z+3/4'
'y+1/4,x+1/4,z+3/4'
'-x+1/2,y,-z+1/2'
'x+1/2,-y,z+1/2'
'y+1/4,x+3/4,-z+1/4'
'-y+1/4,-x+3/4,z+1/4'
'x+1/2,y+1/2,z+1/2'
'-x+1/2,-y+1/2,-z+1/2'
'-y+3/4,x+1/4,z+3/4'
'y+3/4,-x+1/4,-z+3/4'
'-x,-y+1/2,z'
'x,y+1/2,-z'
'y+3/4,-x+3/4,z+1/4'
'-y+3/4,x+3/4,-z+1/4'
'x+1/2,-y+1/2,-z+1/2'
'-x+1/2,y+1/2,z+1/2'
'-y+3/4,-x+3/4,-z+1/4'
'y+3/4,x+3/4,z+1/4'
'-x,y+1/2,-z'
'x,-y+1/2,z'
'y+3/4,x+1/4,-z+3/4'
'-y+3/4,-x+1/4,z+3/4'
loop_
_atom_site_label
_atom_site_fract_x
_atom_site_fract_y
_atom_site_fract_z
_atom_site_occupancy
Cr1 0.000 0.000 0.000 1
O1 0.000 0.250 0.875 1
F1 0.000 0.250 0.122 1
```

* calculated total energy: -0.50476 Ry/atom